1.
Crystalline Re2TcNiRu at its relaxed geometry. Source: Alexandria via LeMat-Bulk, functional PBE.

The structure belongs to space group P4/mmm (No. 123); the cell edges are 4.632, 4.632 and 4.591 Å and the angles 90.00°, 90.00° and 90.00°. Symmetry generates all atoms from Re at (0.000, 0.500, 0.000), Tc at (0.000, 0.000, 0.000), Ni at (0.500, 0.500, 0.500) and Ru at (0.000, 0.000, 0.500).

The calculation puts the size of the total moment at 1.32 μB per formula unit. Its calculated formation energy is 2213 meV per atom.

=====

2.
Crystalline Ac2TbPrNd4 at its relaxed geometry. Source: Alexandria via LeMat-Bulk, functional PBE.

The structure belongs to space group P2/m (No. 10); the cell edges are 6.512, 3.769 and 12.371 Å and the angles 90.00°, 100.35° and 90.00°. Symmetry generates all atoms from Ac at (0.000, 0.000, 0.000), Ac at (0.500, 0.500, 0.000), Tb at (0.000, 0.500, 0.500), Pr at (0.500, 0.000, 0.500), Nd at (0.246, 0.000, 0.742) and Nd at (0.252, 0.500, 0.257).

The calculation puts the size of the total moment at 0.00 μB per formula unit. Its calculated formation energy is 38 meV per atom.

=====

3.
Crystalline PNCl2F at its relaxed geometry. Source: Alexandria via LeMat-Bulk, functional PBE.

The structure belongs to space group P4/mmm (No. 123); the cell edges are 4.298, 4.298 and 4.117 Å and the angles 90.00°, 90.00° and 90.00°. Symmetry generates all atoms from P at (0.000, 0.000, 0.000), N at (0.000, 0.000, 0.500), Cl at (0.000, 0.500, 0.500) and F at (0.500, 0.500, 0.000).

The calculation puts the size of the total moment at 0.00 μB per formula unit. As for the uncorrected formation energy: 0.93 eV/atom. For the distance to the lowest polymorph of the same formula, the calculation gives 0 meV/atom.

=====

4.
Crystalline Pr3IrI3 at its relaxed geometry. Source: Alexandria via LeMat-Bulk, functional PBE.

The structure belongs to space group Cmcm (No. 63); the cell edges are 9.695, 16.771 and 6.468 Å and the angles 90.00°, 90.00° and 90.00°. Symmetry generates all atoms from Pr at (0.000, 0.174, 0.250), Pr at (0.238, 0.413, 0.250), Ir at (0.000, 0.333, 0.250), I at (0.000, 0.202, 0.750) and I at (0.197, 0.399, 0.750).

The calculation puts the size of the total moment at 0.00 μB per formula unit. As for the uncorrected formation energy: -0.57 eV/atom. For the distance to the lowest polymorph of the same formula, the calculation gives 571 meV/atom.

=====

5.
Crystalline CaBe2NbPt at its relaxed geometry. Source: Alexandria via LeMat-Bulk, functional PBE.

The structure belongs to space group P4/mmm (No. 123); the cell edges are 4.632, 4.632 and 4.900 Å and the angles 90.00°, 90.00° and 90.00°. Symmetry generates all atoms from Ca at (0.000, 0.000, 0.000), Be at (0.000, 0.500, 0.500), Nb at (0.500, 0.500, 0.500) and Pt at (0.500, 0.500, 0.000).

The calculation puts the size of the total moment at 0.00 μB per formula unit. Its calculated formation energy is 548 meV per atom.

=====

6.
Crystalline HoPaCl2 at its relaxed geometry. Source: Alexandria via LeMat-Bulk, functional PBE.

The structure belongs to space group R-3m (No. 166, hexagonal axes); the cell edges are 3.3394, 3.3394 and 29.2253 Å and the angles 90.00°, 90.00° and 120.00°. Symmetry generates all atoms from Ho at (0.0000, 0.0000, 0.0000), Pa at (0.0000, 0.0000, 0.5000) and Cl at (0.0000, 0.0000, 0.4015).

The calculation puts the size of the total moment at 0.85 μB per formula unit. As for the uncorrected formation energy: -1.02 eV/atom.

=====

7.
Crystalline Rb2BaSe2 at its relaxed geometry. Source: Alexandria via LeMat-Bulk, functional PBE.

The structure belongs to space group P4/mbm (No. 127); the cell edges are 9.002, 9.002 and 4.881 Å and the angles 90.00°, 90.00° and 90.00°. Symmetry generates all atoms from Rb at (0.128, 0.372, 0.000), Ba at (0.000, 0.000, 0.500) and Se at (0.183, 0.683, 0.500).

The calculation puts the size of the total moment at 0.00 μB per formula unit. As for the uncorrected formation energy: -1.19 eV/atom.

=====

8.
Crystalline KCu2Ni at its relaxed geometry. Source: Alexandria via LeMat-Bulk, functional PBE.

The structure belongs to space group R-3m (No. 166, hexagonal axes); the cell edges are 2.7810, 2.7810 and 28.2364 Å and the angles 90.00°, 90.00° and 120.00°. Symmetry generates all atoms from K at (0.0000, 0.0000, 0.0000), Cu at (0.0000, 0.0000, 0.2341) and Ni at (0.0000, 0.0000, 0.5000).

The calculation puts the size of the total moment at 0.00 μB per formula unit. Its calculated formation energy is 653 meV per atom. For the distance to the lowest polymorph of the same formula, the calculation gives 257 meV/atom.

=====

9.
Crystalline NpSnBi at its relaxed geometry. Source: Alexandria via LeMat-Bulk, functional PBE.

The structure belongs to space group Cmcm (No. 63); the cell edges are 4.537, 16.359 and 4.439 Å and the angles 90.00°, 90.00° and 90.00°. Symmetry generates all atoms from Np at (0.000, 0.095, 0.250), Sn at (0.000, 0.251, 0.750) and Bi at (0.000, 0.425, 0.250).

The calculation puts the size of the total moment at 4.25 μB per formula unit. Its calculated formation energy is -25 meV per atom. For the distance to the lowest polymorph of the same formula, the calculation gives 0 meV/atom.

=====

10.
Crystalline CaTl2Si2 at its relaxed geometry. Source: Alexandria via LeMat-Bulk, functional PBE.

The structure belongs to space group I4/mmm (No. 139); the cell edges are 4.489, 4.489 and 12.996 Å and the angles 90.00°, 90.00° and 90.00°. Symmetry generates all atoms from Ca at (0.000, 0.000, 0.000), Tl at (0.000, 0.500, 0.250) and Si at (0.000, 0.000, 0.413).

The calculation puts the size of the total moment at 0.00 μB per formula unit. As for the uncorrected formation energy: 0.09 eV/atom. For the distance to the lowest polymorph of the same formula, the calculation gives 0 meV/atom.

=====

11.
Crystalline Tb2PuMn at its relaxed geometry. Source: Alexandria via LeMat-Bulk, functional PBE.

The structure belongs to space group P4/mmm (No. 123); the cell edges are 3.456, 3.456 and 8.713 Å and the angles 90.00°, 90.00° and 90.00°. Symmetry generates all atoms from Tb at (0.000, 0.000, 0.204), Pu at (0.500, 0.500, 0.500) and Mn at (0.500, 0.500, 0.000).

The calculation puts the size of the total moment at 9.61 μB per formula unit. Its calculated formation energy is 181 meV per atom.

=====

12.
Crystalline Cs3Ce2AgSe6 at its relaxed geometry. Source: Alexandria via LeMat-Bulk, functional PBE.

The structure belongs to space group C2/m (No. 12); the cell edges are 7.432, 13.159 and 8.636 Å and the angles 90.00°, 106.07° and 90.00°. Symmetry generates all atoms from Cs at (0.000, 0.000, 0.000), Cs at (0.000, 0.344, 0.000), Ce at (0.000, 0.167, 0.500), Ag at (0.000, 0.500, 0.500), Se at (0.221, 0.000, 0.677) and Se at (0.240, 0.321, 0.691).

The calculation puts the size of the total moment at 0.00 μB per formula unit. As for the uncorrected formation energy: -1.31 eV/atom.

=====

> What is the size of the total moment in the twelfth record?

0.00 μB per formula unit